[1]
The following is a DFT calculation (PBE) of Hf2MnW2 after structural relaxation. Values from VASP.

Quantum ESPRESSO input file:
```
&SYSTEM
  ibrav = 0, nat = 5, ntyp = 3
/
ATOMIC_SPECIES
Hf 178.49 Hf.upf
Mn 54.94 Mn.upf
W 183.84 W.upf
CELL_PARAMETERS angstrom
-1.9019 1.9019 6.7024
1.9019 -1.9019 6.7024
1.9019 1.9019 -6.7024
ATOMIC_POSITIONS angstrom
Hf 1.9019 0.0000 3.3512
Hf 0.0000 1.9019 3.3512
Mn 0.0000 0.0000 0.0000
W 0.0000 0.0000 5.5352
W 0.0000 0.0000 7.8695
```

Computed properties:
As for the formation energy: 1.402 eV/atom. The space group is I4/mmm, No. 139. Its density of states at the Fermi level is 1.7447 states/eV per atom.

***

[2]
The following is a DFT calculation (PBE) of HfMn2W after structural relaxation. Values from VASP.

Quantum ESPRESSO input file:
```
&SYSTEM
  ibrav = 0, nat = 4, ntyp = 3
/
ATOMIC_SPECIES
Hf 178.49 Hf.upf
Mn 54.94 Mn.upf
W 183.84 W.upf
CELL_PARAMETERS angstrom
3.0570 0.0000 0.0000
0.0000 3.0570 0.0000
0.0000 0.0000 6.1965
ATOMIC_POSITIONS angstrom
Hf 0.0000 0.0000 0.0000
Mn 1.5285 1.5285 1.6522
Mn 1.5285 1.5285 4.5443
W 0.0000 0.0000 3.0982
```

Computed properties:
As for the formation energy: -0.109 eV/atom. The space group is P4/mmm, No. 123. Its density of states at the Fermi level is 0.2277 states/eV per atom.

***

[3]
The following is a DFT calculation (PBE) of Hf2Mn2W after structural relaxation. Values from VASP.

Quantum ESPRESSO input file:
```
&SYSTEM
  ibrav = 0, nat = 10, ntyp = 3
/
ATOMIC_SPECIES
Hf 178.49 Hf.upf
Mn 54.94 Mn.upf
W 183.84 W.upf
CELL_PARAMETERS angstrom
6.2149 0.0000 0.0000
0.0000 6.2149 0.0000
0.0000 0.0000 4.3180
ATOMIC_POSITIONS angstrom
Hf 1.1304 1.9771 0.0000
Hf 1.9771 5.0846 0.0000
Hf 4.2378 1.1304 0.0000
Hf 5.0846 4.2378 0.0000
Mn 0.7581 3.8656 2.1590
Mn 2.3494 0.7581 2.1590
Mn 3.8656 5.4568 2.1590
Mn 5.4568 2.3494 2.1590
W 0.0000 0.0000 2.1590
W 3.1075 3.1075 2.1590
```

Computed properties:
As for the formation energy: -0.017 eV/atom. The space group is P4/mbm, No. 127. Its density of states at the Fermi level is 0.9591 states/eV per atom.

***

Sequential magnetization output: 0.13 0.00 0.00 μB per cell